Ba12Ir3F5 after structural relaxation, computed with PBE.

Values from the calculation:
Symmetry   Ia-3d (230)
Magnetic moment   0.00 μB/cell
Mass density   5.651 g/cm³

```
Ba12Ir3F5
1.0
-6.047 12.234 6.790
-11.170 -8.835 -5.434
8.240 -7.875 10.121
Ba F Ir
48 20 12
Direct
0.913 0.094 0.628
0.035 0.406 0.819
0.128 0.716 0.535
0.681 0.465 0.594
0.535 0.319 0.906
0.784 0.319 0.913
0.587 0.872 0.406
0.594 0.628 0.413
0.594 0.965 0.681
0.628 0.594 0.913
0.716 0.128 0.035
0.128 0.413 0.094
0.465 0.681 0.094
0.319 0.535 0.406
0.035 0.628 0.716
0.872 0.587 0.906
0.535 0.216 0.128
0.087 0.906 0.372
0.413 0.128 0.594
0.872 0.284 0.465
0.628 0.035 0.216
0.216 0.681 0.087
0.906 0.819 0.535
0.372 0.965 0.784
0.284 0.413 0.819
0.216 0.535 0.628
0.284 0.872 0.965
0.372 0.406 0.087
0.465 0.784 0.872
0.716 0.587 0.181
0.406 0.372 0.587
0.587 0.716 0.681
0.094 0.913 0.128
0.819 0.906 0.035
0.413 0.284 0.319
0.819 0.913 0.284
0.406 0.035 0.319
0.094 0.181 0.465
0.913 0.819 0.784
0.965 0.594 0.181
0.181 0.087 0.716
0.906 0.087 0.872
0.965 0.372 0.284
0.681 0.216 0.587
0.319 0.784 0.413
0.784 0.465 0.372
0.087 0.181 0.216
0.181 0.094 0.965
0.750 0.125 0.875
0.250 0.875 0.125
0.000 0.500 0.000
0.250 0.375 0.625
0.500 0.000 0.500
0.000 0.000 0.500
0.875 0.625 0.750
0.000 0.500 0.500
0.375 0.250 0.125
0.500 0.000 0.000
0.375 0.125 0.750
0.625 0.875 0.250
0.500 0.500 0.000
0.000 0.000 0.000
0.500 0.500 0.500
0.125 0.750 0.375
0.125 0.375 0.250
0.750 0.625 0.375
0.625 0.750 0.875
0.875 0.250 0.625
0.625 0.250 0.375
0.750 0.375 0.125
0.250 0.125 0.375
0.125 0.250 0.875
0.375 0.750 0.625
0.875 0.125 0.250
0.125 0.875 0.750
0.750 0.875 0.625
0.625 0.375 0.750
0.375 0.625 0.250
0.875 0.750 0.125
0.250 0.625 0.875
```

---

BaIrF5 after structural relaxation, computed with PBE.

Values from the calculation:
Symmetry   C2/c (15)
Magnetic moment   0.00 μB/cell
Mass density   5.248 g/cm³

```
BaIrF5
1.0
-5.065 -1.642 -3.116
4.831 -1.223 -3.637
2.271 -5.283 6.151
F Ir Ba
10 2 2
Direct
0.419 0.248 0.612
0.770 0.711 0.030
0.181 0.741 0.470
0.819 0.259 0.530
0.323 0.073 0.250
0.230 0.289 0.970
0.136 0.807 0.888
0.864 0.193 0.112
0.677 0.927 0.750
0.581 0.752 0.388
0.000 0.000 0.000
0.500 0.000 0.500
0.295 0.545 0.750
0.705 0.455 0.250
```

---

Computed values of calculated total energy (unit: eV/cell) for the preceding records, in sequence: -345.3, -73.6.
Computed values of raw formation energy (unit: kJ/mol of formula units) for the preceding records, in sequence: -2636, -1608.
Computed values of DOS(E_F) (unit: states/eV/cell) for the preceding records, in sequence: 60.3, 0.2.